Entry 1:
This record from Alexandria describes a relaxed Nd3Pd3Au2 crystal. The functional is PBE-GGA.

Properties
Size of the total moment, μB/f.u.: 0.00
Distance to the lowest polymorph of the same formula, meV/atom: 4.1

abc: 4.3039 11.2991 15.2575
angles: 90.00 90.00 90.00
Space group Cmcm (No. 63)
One atom of each set of equivalent atoms:
Nd: 0.0000 0.0761 0.1043
Nd: 0.0000 0.3455 0.2500
Pd: 0.0000 0.3882 0.7500
Pd: 0.0000 0.3943 0.0396
Au: 0.0000 0.2206 0.6098

***

Entry 2:
This record from Alexandria describes a relaxed Nd3PdAu3 crystal. The functional is PBE-GGA.

Properties
Size of the total moment, μB/f.u.: 0.00

abc: 3.8934 4.5697 19.8801
angles: 90.00 90.00 90.00
Space group Imm2 (No. 44)
One atom of each set of equivalent atoms:
Nd: 0.0000 0.0000 0.0000
Nd: 0.0000 0.0000 0.3663
Nd: 0.0000 0.5000 0.1899
Pd: 0.0000 0.5000 0.7540
Au: 0.0000 0.0000 0.5289
Au: 0.0000 0.0000 0.8377
Au: 0.0000 0.5000 0.6197

***

Entry 3:
This record from Alexandria describes a relaxed NdPd8Au4 crystal. The functional is PBE-GGA.

Properties
Size of the total moment, μB/f.u.: 0.00

abc: 9.2511 9.2511 5.4540
angles: 90.00 90.00 90.00
Space group I4/mmm (No. 139)
One atom of each set of equivalent atoms:
Nd: 0.0000 0.0000 0.0000
Pd: 0.0000 0.2144 0.5000
Pd: 0.0000 0.3508 0.0000
Au: 0.2500 0.2500 0.2500

***

Number 1: density 10.26 g cm⁻³, VASP energy -42.6 eV per formula unit. Number 2: density 10.61 g cm⁻³, VASP energy -34.8 eV per formula unit. Number 3: density 12.69 g cm⁻³, VASP energy -62.4 eV per formula unit.